1.
The following is a PBE calculation of crystalline Y3Er2Mg at its relaxed geometry, from Alexandria via LeMat-Bulk.

Output
space-group type: P4/mmm, No. 123
DFT formation energy: -0.014 eV/atom
magnetization: 0.000 μB per cell
E above lowest polymorph: 0.00 kcal/mol of atoms
ρ: 5.7 Mg/m³

Unit cell a=3.5625 b=3.5625 c=14.3144 alpha=90.00 beta=90.00 gamma=90.00
Element x y z (fractional)
Y: 0.0000 0.0000 0.0000
Y: 0.0000 0.0000 0.3460
Y: 0.0000 0.0000 0.6540
Mg: 0.5000 0.5000 0.5000
Er: 0.5000 0.5000 0.8259
Er: 0.5000 0.5000 0.1741

=====

2.
The following is a PBE calculation of crystalline Y4Er3Mg at its relaxed geometry, from Alexandria via LeMat-Bulk.

Output
space-group type: P4/mmm, No. 123
DFT formation energy: -0.003 eV/atom
magnetization: 0.000 μB per cell
E above lowest polymorph: 0.00 kcal/mol of atoms
ρ: 6.0 Mg/m³

Unit cell a=3.5563 b=3.5563 c=19.3345 alpha=90.00 beta=90.00 gamma=90.00
Element x y z (fractional)
Er: 0.5000 0.5000 0.7586
Er: 0.5000 0.5000 0.2414
Er: 0.5000 0.5000 0.5000
Mg: 0.5000 0.5000 0.0000
Y: 0.0000 0.0000 0.3707
Y: 0.0000 0.0000 0.1143
Y: 0.0000 0.0000 0.8857
Y: 0.0000 0.0000 0.6293

=====

3.
The following is a PBE calculation of crystalline YEr8Mg6 at its relaxed geometry, from Alexandria via LeMat-Bulk.

Output
space-group type: R-3, No. 148
DFT formation energy: 0.206 eV/atom
magnetization: 0.001 μB per cell
ρ: 5.8 Mg/m³

Unit cell a=9.0482 b=9.0482 c=8.2598 alpha=56.79 beta=56.79 gamma=60.00
Element x y z (fractional)
Mg: 0.2845 0.6174 0.1451
Mg: 0.9530 0.2845 0.1451
Mg: 0.6174 0.9530 0.1451
Mg: 0.3826 0.0470 0.8549
Mg: 0.7155 0.3826 0.8549
Mg: 0.0470 0.7155 0.8549
Er: 0.3365 0.3365 0.9906
Er: 0.6635 0.6635 0.0094
Er: 0.8838 0.5474 0.3504
Er: 0.4526 0.7816 0.6496
Er: 0.1162 0.4526 0.6496
Er: 0.7816 0.1162 0.6496
Er: 0.2184 0.8838 0.3504
Er: 0.5474 0.2184 0.3504
Y: 0.0000 0.0000 0.0000